Arrangement w

This record from Alexandria via LeMat-Bulk describes a relaxed structure of LaSmGaRu. The functional is PBE-GGA.

Cell lengths 4.526, 4.112, 10.778 Å; angles 90.00, 90.00, 90.00 degrees
Positions (direct):
La (0.000, 0.000, 0.000)
La (0.000, 0.500, 0.500)
Sm (0.500, 0.000, 0.720)
Sm (0.500, 0.500, 0.220)
Ga (0.500, 0.000, 0.422)
Ga (0.500, 0.500, 0.922)
Ru (0.000, 0.000, 0.302)
Ru (0.000, 0.500, 0.802)

Summary:
The space group is Amm2 (38). The value obtained for the total magnetic moment is 0.0 μB per formula unit. As for the volume: 25.1 Å³ per atom.

=====

Arrangement x

This record from Alexandria via LeMat-Bulk describes a relaxed structure of LaSmGaRu. The functional is PBE-GGA.

Cell lengths 7.236, 7.236, 7.236 Å; angles 90.00, 90.00, 90.00 degrees
Positions (direct):
La (0.000, 0.000, 0.000)
La (0.000, 0.500, 0.500)
La (0.500, 0.000, 0.500)
La (0.500, 0.500, 0.000)
Sm (0.000, 0.000, 0.500)
Sm (0.000, 0.500, 0.000)
Sm (0.500, 0.000, 0.000)
Sm (0.500, 0.500, 0.500)
Ga (0.250, 0.250, 0.750)
Ga (0.250, 0.750, 0.250)
Ga (0.750, 0.250, 0.250)
Ga (0.750, 0.750, 0.750)
Ru (0.250, 0.250, 0.250)
Ru (0.250, 0.750, 0.750)
Ru (0.750, 0.250, 0.750)
Ru (0.750, 0.750, 0.250)

Summary:
The space group is F-43m (216). The value obtained for the total magnetic moment is 0.0 μB per formula unit. As for the volume: 23.7 Å³ per atom.

=====

Top of the stability list: arrangement w, leading by 0.092 eV/atom.

=====

Arrangement w

This record from Alexandria via LeMat-Bulk describes a relaxed structure of LaGaS3. The functional is PBE-GGA.

Cell lengths 4.734, 4.734, 4.734 Å; angles 90.00, 90.00, 90.00 degrees
Positions (direct):
La (0.000, 0.000, 0.000)
Ga (0.500, 0.500, 0.500)
S (0.000, 0.500, 0.500)
S (0.500, 0.000, 0.500)
S (0.500, 0.500, 0.000)

Summary:
The space group is Pm-3m (221). The value obtained for the total magnetic moment is 0.0 μB per formula unit. As for the volume: 21.2 Å³ per atom.

=====

Arrangement x

This record from Alexandria via LeMat-Bulk describes a relaxed structure of LaGaS3. The functional is PBE-GGA.

Cell lengths 10.430, 10.612, 12.932 Å; angles 90.00, 98.82, 90.00 degrees
Positions (direct):
La (0.015, 0.053, 0.175)
La (0.015, 0.447, 0.675)
La (0.314, 0.644, 0.941)
La (0.314, 0.856, 0.441)
La (0.443, 0.031, 0.172)
La (0.443, 0.469, 0.672)
La (0.557, 0.531, 0.328)
La (0.557, 0.969, 0.828)
La (0.686, 0.144, 0.559)
La (0.686, 0.356, 0.059)
La (0.985, 0.553, 0.325)
La (0.985, 0.947, 0.825)
Ga (0.187, 0.747, 0.669)
Ga (0.187, 0.753, 0.169)
Ga (0.248, 0.082, 0.646)
Ga (0.248, 0.418, 0.146)
Ga (0.302, 0.229, 0.924)
Ga (0.302, 0.271, 0.424)
Ga (0.698, 0.729, 0.576)
Ga (0.698, 0.771, 0.076)
Ga (0.752, 0.582, 0.854)
Ga (0.752, 0.918, 0.354)
Ga (0.813, 0.247, 0.831)
Ga (0.813, 0.253, 0.331)
S (0.064, 0.690, 0.794)
S (0.064, 0.810, 0.294)
S (0.104, 0.576, 0.083)
S (0.104, 0.924, 0.583)
S (0.168, 0.588, 0.545)
S (0.168, 0.912, 0.045)
S (0.207, 0.222, 0.076)
S (0.207, 0.278, 0.576)
S (0.251, 0.049, 0.823)
S (0.251, 0.451, 0.323)
S (0.253, 0.094, 0.326)
S (0.253, 0.406, 0.826)
S (0.395, 0.733, 0.750)
S (0.395, 0.767, 0.250)
S (0.441, 0.014, 0.608)
S (0.441, 0.486, 0.108)
S (0.493, 0.662, 0.514)
S (0.493, 0.838, 0.014)
S (0.507, 0.162, 0.986)
S (0.507, 0.338, 0.486)
S (0.559, 0.514, 0.892)
S (0.559, 0.986, 0.392)
S (0.605, 0.233, 0.750)
S (0.605, 0.267, 0.250)
S (0.747, 0.594, 0.174)
S (0.747, 0.906, 0.674)
S (0.749, 0.549, 0.677)
S (0.749, 0.951, 0.177)
S (0.793, 0.722, 0.424)
S (0.793, 0.778, 0.924)
S (0.832, 0.088, 0.955)
S (0.832, 0.412, 0.455)
S (0.896, 0.076, 0.417)
S (0.896, 0.424, 0.917)
S (0.936, 0.190, 0.706)
S (0.936, 0.310, 0.206)

Summary:
The space group is P2_1/c (14). The value obtained for the total magnetic moment is 0.0 μB per formula unit. As for the volume: 23.6 Å³ per atom.

=====

Arrangement y

This record from Alexandria via LeMat-Bulk describes a relaxed structure of LaGaS3. The functional is PBE-GGA.

Cell lengths 8.232, 6.101, 11.026 Å; angles 90.00, 113.75, 90.00 degrees
Positions (direct):
La (0.215, 0.228, 0.122)
La (0.215, 0.272, 0.622)
La (0.785, 0.728, 0.378)
La (0.785, 0.772, 0.878)
Ga (0.407, 0.743, 0.002)
Ga (0.407, 0.757, 0.502)
Ga (0.593, 0.243, 0.498)
Ga (0.593, 0.257, 0.998)
S (0.151, 0.719, 0.045)
S (0.151, 0.781, 0.545)
S (0.304, 0.100, 0.894)
S (0.304, 0.400, 0.394)
S (0.453, 0.564, 0.834)
S (0.453, 0.936, 0.334)
S (0.547, 0.064, 0.666)
S (0.547, 0.436, 0.166)
S (0.696, 0.600, 0.606)
S (0.696, 0.900, 0.106)
S (0.849, 0.219, 0.455)
S (0.849, 0.281, 0.955)

Summary:
The space group is P2_1/c (14). The value obtained for the total magnetic moment is 0.0 μB per formula unit. As for the volume: 25.3 Å³ per atom.

=====

Top of the stability list: arrangement x, leading by 0.135 eV/atom.

=====

Arrangement w

This record from Alexandria via LeMat-Bulk describes a relaxed structure of LaGaSb. The functional is PBE-GGA.

Cell lengths 3.821, 3.821, 10.942 Å; angles 90.00, 90.00, 90.00 degrees
Positions (direct):
La (0.000, 0.000, 0.000)
La (0.500, 0.500, 0.500)
Ga (0.000, 0.000, 0.691)
Ga (0.500, 0.500, 0.191)
Sb (0.000, 0.000, 0.304)
Sb (0.500, 0.500, 0.804)

Summary:
The space group is I4mm (107). The value obtained for the total magnetic moment is 0.3 μB per formula unit. As for the volume: 26.6 Å³ per atom.

=====

Arrangement x

This record from Alexandria via LeMat-Bulk describes a relaxed structure of LaGaSb. The functional is PBE-GGA.

Cell lengths 4.778, 4.778, 4.191 Å; angles 90.00, 90.00, 120.00 degrees
Positions (direct):
La (0.000, 0.000, 0.000)
Ga (0.667, 0.333, 0.411)
Sb (0.333, 0.667, 0.527)

Summary:
The space group is P3m1 (156). The value obtained for the total magnetic moment is 0.0 μB per formula unit. As for the volume: 27.6 Å³ per atom.

=====

Top of the stability list: arrangement x, leading by 0.121 eV/atom.

=====

Arrangement w

This record from Alexandria via LeMat-Bulk describes a relaxed structure of La2GaSb2. The functional is PBE-GGA.

Cell lengths 8.542, 8.542, 4.277 Å; angles 90.00, 90.00, 90.00 degrees
Positions (direct):
La (0.146, 0.354, 0.000)
La (0.354, 0.854, 0.000)
La (0.646, 0.146, 0.000)
La (0.854, 0.646, 0.000)
Ga (0.000, 0.000, 0.000)
Ga (0.500, 0.500, 0.000)
Sb (0.162, 0.662, 0.500)
Sb (0.338, 0.162, 0.500)
Sb (0.662, 0.838, 0.500)
Sb (0.838, 0.338, 0.500)

Summary:
The space group is P4/mbm (127). The value obtained for the total magnetic moment is 0.0 μB per formula unit. As for the volume: 31.2 Å³ per atom.

=====

Arrangement x

This record from Alexandria via LeMat-Bulk describes a relaxed structure of La2GaSb2. The functional is PBE-GGA.

Cell lengths 8.451, 8.451, 4.318 Å; angles 90.00, 90.00, 90.00 degrees
Positions (direct):
La (0.156, 0.344, 0.000)
La (0.344, 0.844, 0.000)
La (0.656, 0.156, 0.000)
La (0.844, 0.656, 0.000)
Ga (0.000, 0.000, 0.500)
Ga (0.500, 0.500, 0.500)
Sb (0.150, 0.650, 0.500)
Sb (0.350, 0.150, 0.500)
Sb (0.650, 0.850, 0.500)
Sb (0.850, 0.350, 0.500)

Summary:
The space group is P4/mbm (127). The value obtained for the total magnetic moment is 0.0 μB per formula unit. As for the volume: 30.8 Å³ per atom.

=====

Top of the stability list: arrangement x, leading by 0.097 eV/atom.

=====

Arrangement w

This record from Alexandria via LeMat-Bulk describes a relaxed structure of La3GaSb. The functional is PBE-GGA.

Cell lengths 5.709, 5.709, 5.709 Å; angles 90.00, 90.00, 90.00 degrees
Positions (direct):
La (0.000, 0.000, 0.500)
La (0.000, 0.500, 0.000)
La (0.500, 0.000, 0.000)
Ga (0.000, 0.000, 0.000)
Sb (0.500, 0.500, 0.500)

Summary:
The space group is Pm-3m (221). The value obtained for the total magnetic moment is 0.0 μB per formula unit. As for the volume: 37.2 Å³ per atom.

=====

Arrangement x

This record from Alexandria via LeMat-Bulk describes a relaxed structure of La3GaSb. The functional is PBE-GGA.

Cell lengths 8.599, 4.304, 8.996 Å; angles 90.00, 105.11, 90.00 degrees
Positions (direct):
La (0.105, 0.250, 0.238)
La (0.299, 0.250, 0.939)
La (0.336, 0.750, 0.584)
La (0.664, 0.250, 0.416)
La (0.701, 0.750, 0.061)
La (0.895, 0.750, 0.762)
Ga (0.056, 0.250, 0.590)
Ga (0.944, 0.750, 0.410)
Sb (0.397, 0.750, 0.228)
Sb (0.603, 0.250, 0.772)

Summary:
The space group is P2_1/m (11). The value obtained for the total magnetic moment is 1.1 μB per formula unit. As for the volume: 32.1 Å³ per atom.

=====

Top of the stability list: arrangement x, leading by 0.425 eV/atom.

=====

Arrangement w

This record from Alexandria via LeMat-Bulk describes a relaxed structure of LaGaSb2Te. The functional is PBE-GGA.

Cell lengths 6.085, 6.085, 6.129 Å; angles 90.00, 90.00, 90.00 degrees
Positions (direct):
La (0.000, 0.000, 0.000)
Ga (0.500, 0.500, 0.500)
Sb (0.000, 0.500, 0.000)
Sb (0.500, 0.000, 0.000)
Te (0.000, 0.000, 0.500)

Summary:
The space group is P4/mmm (123). The value obtained for the total magnetic moment is 0.0 μB per formula unit. As for the volume: 45.4 Å³ per atom.

=====

Arrangement x

This record from Alexandria via LeMat-Bulk describes a relaxed structure of LaGaSb2Te. The functional is PBE-GGA.

Cell lengths 5.317, 5.317, 5.455 Å; angles 90.00, 90.00, 90.00 degrees
Positions (direct):
La (0.000, 0.000, 0.000)
Ga (0.500, 0.500, 0.500)
Sb (0.000, 0.500, 0.500)
Sb (0.500, 0.000, 0.500)
Te (0.500, 0.500, 0.000)

Summary:
The space group is P4/mmm (123). The value obtained for the total magnetic moment is 0.0 μB per formula unit. As for the volume: 30.8 Å³ per atom.

=====

Top of the stability list: arrangement x, leading by 0.430 eV/atom.

=====

Arrangement w

This record from Alexandria via LeMat-Bulk describes a relaxed structure of LaScGa2. The functional is PBE-GGA.

Cell lengths 7.162, 7.162, 7.162 Å; angles 90.00, 90.00, 90.00 degrees
Positions (direct):
La (0.000, 0.000, 0.000)
La (0.000, 0.500, 0.500)
La (0.500, 0.000, 0.500)
La (0.500, 0.500, 0.000)
Sc (0.000, 0.000, 0.500)
Sc (0.000, 0.500, 0.000)
Sc (0.500, 0.000, 0.000)
Sc (0.500, 0.500, 0.500)
Ga (0.250, 0.250, 0.250)
Ga (0.250, 0.250, 0.750)
Ga (0.250, 0.750, 0.250)
Ga (0.250, 0.750, 0.750)
Ga (0.750, 0.250, 0.250)
Ga (0.750, 0.250, 0.750)
Ga (0.750, 0.750, 0.250)
Ga (0.750, 0.750, 0.750)

Summary:
The space group is Fm-3m (225). The value obtained for the total magnetic moment is 0.0 μB per formula unit. As for the volume: 23.0 Å³ per atom.

=====

Arrangement x

This record from Alexandria via LeMat-Bulk describes a relaxed structure of LaScGa2. The functional is PBE-GGA.

Cell lengths 3.553, 3.553, 7.168 Å; angles 90.00, 90.00, 90.00 degrees
Positions (direct):
La (0.000, 0.000, 0.000)
Sc (0.000, 0.000, 0.500)
Ga (0.500, 0.500, 0.291)
Ga (0.500, 0.500, 0.709)

Summary:
The space group is P4/mmm (123). The value obtained for the total magnetic moment is 0.0 μB per formula unit. As for the volume: 22.6 Å³ per atom.

=====

Arrangement y

This record from Alexandria via LeMat-Bulk describes a relaxed structure of LaScGa2. The functional is PBE-GGA.

Cell lengths 7.959, 7.959, 6.417 Å; angles 90.00, 90.00, 90.00 degrees
Positions (direct):
La (0.000, 0.000, 0.000)
La (0.000, 0.500, 0.250)
La (0.500, 0.000, 0.750)
La (0.500, 0.500, 0.500)
Sc (0.000, 0.000, 0.500)
Sc (0.000, 0.500, 0.750)
Sc (0.500, 0.000, 0.250)
Sc (0.500, 0.500, 0.000)
Ga (0.218, 0.250, 0.625)
Ga (0.250, 0.718, 0.875)
Ga (0.250, 0.782, 0.375)
Ga (0.282, 0.250, 0.125)
Ga (0.718, 0.750, 0.125)
Ga (0.750, 0.218, 0.375)
Ga (0.750, 0.282, 0.875)
Ga (0.782, 0.750, 0.625)

Summary:
The space group is I-42d (122). The value obtained for the total magnetic moment is 0.0 μB per formula unit. As for the volume: 25.4 Å³ per atom.

=====

Arrangement z

This record from Alexandria via LeMat-Bulk describes a relaxed structure of LaScGa2. The functional is PBE-GGA.

Cell lengths 3.579, 3.579, 26.662 Å; angles 90.00, 90.00, 120.00 degrees
Positions (direct):
La (0.000, 0.000, 0.000)
La (0.333, 0.667, 0.667)
La (0.667, 0.333, 0.333)
Sc (0.000, 0.000, 0.500)
Sc (0.333, 0.667, 0.167)
Sc (0.667, 0.333, 0.833)
Ga (0.000, 0.000, 0.242)
Ga (0.000, 0.000, 0.758)
Ga (0.333, 0.667, 0.425)
Ga (0.333, 0.667, 0.909)
Ga (0.667, 0.333, 0.091)
Ga (0.667, 0.333, 0.575)

Summary:
The space group is R-3m (166). The value obtained for the total magnetic moment is 0.0 μB per formula unit. As for the volume: 24.6 Å³ per atom.

=====

Top of the stability list: arrangement x, leading by 0.042 eV/atom.

=====

Arrangement w

This record from Alexandria via LeMat-Bulk describes a relaxed structure of LaScGa. The functional is PBE-GGA.

Cell lengths 4.222, 11.802, 6.467 Å; angles 90.00, 90.00, 90.00 degrees
Positions (direct):
La (0.000, 0.206, 0.000)
La (0.000, 0.794, 0.500)
La (0.500, 0.294, 0.500)
La (0.500, 0.706, 0.000)
Sc (0.000, 0.500, 0.252)
Sc (0.000, 0.500, 0.752)
Sc (0.500, 0.000, 0.252)
Sc (0.500, 0.000, 0.752)
Ga (0.000, 0.093, 0.502)
Ga (0.000, 0.907, 0.002)
Ga (0.500, 0.407, 0.002)
Ga (0.500, 0.593, 0.502)

Summary:
The space group is Cmc2_1 (36). The value obtained for the total magnetic moment is 0.7 μB per formula unit. As for the volume: 26.9 Å³ per atom.

=====

Arrangement x

This record from Alexandria via LeMat-Bulk describes a relaxed structure of LaScGa. The functional is PBE-GGA.

Cell lengths 4.672, 11.006, 5.960 Å; angles 90.00, 90.00, 90.00 degrees
Positions (direct):
La (0.000, 0.000, 0.000)
La (0.000, 0.500, 0.500)
La (0.500, 0.000, 0.409)
La (0.500, 0.500, 0.909)
Sc (0.000, 0.201, 0.591)
Sc (0.000, 0.299, 0.091)
Sc (0.000, 0.701, 0.091)
Sc (0.000, 0.799, 0.591)
Ga (0.500, 0.200, 0.865)
Ga (0.500, 0.300, 0.365)
Ga (0.500, 0.700, 0.365)
Ga (0.500, 0.800, 0.865)

Summary:
The space group is Amm2 (38). The value obtained for the total magnetic moment is 0.0 μB per formula unit. As for the volume: 25.5 Å³ per atom.

=====

Arrangement y

This record from Alexandria via LeMat-Bulk describes a relaxed structure of LaScGa. The functional is PBE-GGA.

Cell lengths 4.811, 4.811, 4.025 Å; angles 90.00, 90.00, 120.00 degrees
Positions (direct):
La (0.000, 0.000, 0.000)
Sc (0.667, 0.333, 0.500)
Ga (0.333, 0.667, 0.501)

Summary:
The space group is P3m1 (156). The value obtained for the total magnetic moment is 0.0 μB per formula unit. As for the volume: 26.9 Å³ per atom.

=====

Arrangement z

This record from Alexandria via LeMat-Bulk describes a relaxed structure of LaScGa. The functional is PBE-GGA.

Cell lengths 4.580, 4.580, 7.612 Å; angles 90.00, 90.00, 90.00 degrees
Positions (direct):
La (0.250, 0.250, 0.146)
La (0.750, 0.750, 0.854)
Sc (0.250, 0.750, 0.500)
Sc (0.750, 0.250, 0.500)
Ga (0.250, 0.250, 0.727)
Ga (0.750, 0.750, 0.273)

Summary:
The space group is P4/nmm (129). The value obtained for the total magnetic moment is 0.9 μB per formula unit. As for the volume: 26.6 Å³ per atom.

=====

Top of the stability list: arrangement z, leading by 0.058 eV/atom.